A plane-wave DFT calculation with PBE was carried out for a geometry-optimized Ti2H3 structure.

## Properties
Total DFT energy (no corrections) = -167.7 eV/cell
E above lowest polymorph = 31 meV/atom

Cell: 4.9086 4.9086 11.4610 Å, 90.00 90.00 120.00°
Space group R-3c (No. 167, hexagonal axes)
Symmetry-distinct sites (fractional):
Ti (0.0000, 0.0000, 0.1284) [12 per cell]
H (0.0000, 0.2691, 0.2500) [18 per cell]